Record 1
Compound: Li2AgBr3
Source: Alexandria
Functional: GGA-PBE
Structure: relaxed

```
Li2AgBr3
1.0
-2.136 6.389 3.014
2.136 -6.389 3.014
2.136 6.389 -3.014
Li Ag Br
2 1 3
direct
0.169 0.000 0.169
0.831 0.000 0.831
0.492 0.992 0.500
0.059 0.734 0.325
0.409 0.734 0.675
0.775 0.775 0.000
```

Properties
Density in g cm⁻³: 3.65
Crystal system: orthorhombic
Calculated total energy in eV per cell: -18.6



Record 2
Compound: LiAgBr
Source: Alexandria
Functional: GGA-PBE
Structure: relaxed

```
LiAgBr
1.0
0.000 3.352 3.352
3.352 0.000 3.352
3.352 3.352 0.000
Li Ag Br
1 1 1
direct
0.000 0.000 0.000
0.750 0.750 0.750
0.500 0.500 0.500
```

Properties
Density in g cm⁻³: 4.29
Crystal system: cubic
Calculated total energy in eV per cell: -7.1



no.,spin magnetization (μB/f.u.)
1,0.0
2,0.0